1.
The following is a PBE calculation of Mn2NiSnAu after structural relaxation, from the Alexandria database.

Cell lengths 4.844, 4.813, 4.844 Å; angles 90.00, 90.00, 90.00 degrees
Site moments in Bohr magnetons follow the coordinates.
Atoms (fractional coordinates):
Ni 0.000 0.000 0.000  0.43
Mn 0.000 0.000 0.500  4.16
Mn 0.500 0.000 0.000  4.12
Au 0.500 0.500 0.500  0.02
Sn 0.000 0.500 0.000  -0.02

**Total moment**: 9.23 Bohr magnetons per cell
**Final energy**: -5.774 eV/atom

---

2.
The following is a PBE calculation of TiMn2NiAu after structural relaxation, from the Alexandria database.

Cell lengths 4.428, 4.428, 4.742 Å; angles 90.00, 90.00, 90.00 degrees
Site moments in Bohr magnetons follow the coordinates.
Atoms (fractional coordinates):
Ni 0.000 0.000 0.000  0.59
Mn 0.000 0.500 0.000  3.71
Mn 0.500 0.000 0.000  3.71
Au 0.000 0.000 0.500  -0.01
Ti 0.500 0.500 0.500  -1.61

**Total moment**: 6.23 Bohr magnetons per cell
**Final energy**: -6.385 eV/atom

---

3.
The following is a PBE calculation of MnZnNiAu after structural relaxation, from the Alexandria database.

Cell lengths 4.324, 4.324, 4.324 Å; angles 60.00, 60.00, 60.00 degrees
Site moments in Bohr magnetons follow the coordinates.
Atoms (fractional coordinates):
Ni 0.250 0.250 0.250  0.23
Zn 0.500 0.500 0.500  -0.04
Mn 0.000 0.000 0.000  3.61
Au 0.750 0.750 0.750  0.03

**Total moment**: 3.86 Bohr magnetons per cell
**Final energy**: -4.956 eV/atom

---

4.
The following is a PBE calculation of NpMnAu11 after structural relaxation, from the Alexandria database.

Cell lengths 5.599, 7.335, 7.243 Å; angles 81.34, 67.26, 67.08 degrees
Site moments in Bohr magnetons follow the coordinates.
Atoms (fractional coordinates):
Np 0.000 0.000 0.000  4.04
Mn 0.500 0.500 0.000  3.92
Au 0.296 0.216 0.211  0.01
Au 0.704 0.784 0.789  0.01
Au 0.494 0.784 0.211  0.01
Au 0.506 0.216 0.789  0.01
Au 0.358 0.651 0.664  0.02
Au 0.642 0.349 0.336  0.02
Au 0.978 0.349 0.664  0.02
Au 0.022 0.651 0.336  0.02
Au 0.000 0.500 0.000  0.04
Au 0.500 0.000 0.500  0.00
Au 0.000 0.000 0.500  0.00

**Total moment**: 8.47 Bohr magnetons per cell
**Final energy**: -4.512 eV/atom